1.
Density functional theory data (PBE-GGA) for crystalline GdY2Ir at its relaxed geometry. Values from VASP.

Summary:
Its formation energy from the elements is -124.3 meV per atom. The value obtained for the energy above the most stable polymorph in this dataset is 102 kJ/mol of formula units. Its space group is R-3m, No. 166. The calculation puts the total energy at -9.092 eV/atom.

Cell and atoms, written as Quantum ESPRESSO input:
```
&SYSTEM
  ibrav = 0, nat = 4, ntyp = 3
/
ATOMIC_SPECIES
Gd 157.25 Gd.upf
Y 88.91 Y.upf
Ir 192.22 Ir.upf
ATOMIC_POSITIONS crystal
Gd 0.000 0.000 0.000
Y 0.886 0.886 0.341
Y 0.114 0.114 0.659
Ir 0.500 0.500 0.500
CELL_PARAMETERS angstrom
3.796 0.000 0.000
1.898 3.287 0.000
1.898 1.096 10.422
```



2.
Density functional theory data (PBE-GGA) for crystalline GdYIr at its relaxed geometry. Values from VASP.

Summary:
Its formation energy from the elements is -651.9 meV per atom. The value obtained for the energy above the most stable polymorph in this dataset is 0 kJ/mol of formula units. Its space group is F-43m, No. 216. The calculation puts the total energy at -10.454 eV/atom.

Cell and atoms, written as Quantum ESPRESSO input:
```
&SYSTEM
  ibrav = 0, nat = 3, ntyp = 3
/
ATOMIC_SPECIES
Ir 192.22 Ir.upf
Y 88.91 Y.upf
Gd 157.25 Gd.upf
ATOMIC_POSITIONS crystal
Ir 0.250 0.250 0.250
Y 0.500 0.500 0.500
Gd 0.000 0.000 0.000
CELL_PARAMETERS angstrom
-3.001 -2.787 -2.565
1.555 -4.206 -1.802
-1.607 -4.164 1.852
```



The lowest formation energy from the elements belongs to which entry? GdYIr



What did the second record say?
Density functional theory data (PBE-GGA) for crystalline GdYIr at its relaxed geometry. Values from VASP.

Summary:
Its formation energy from the elements is -651.9 meV per atom. The value obtained for the energy above the most stable polymorph in this dataset is 0 kJ/mol of formula units. Its space group is F-43m, No. 216. The calculation puts the total energy at -10.454 eV/atom.

Cell and atoms, written as Quantum ESPRESSO input:
```
&SYSTEM
  ibrav = 0, nat = 3, ntyp = 3
/
ATOMIC_SPECIES
Ir 192.22 Ir.upf
Y 88.91 Y.upf
Gd 157.25 Gd.upf
ATOMIC_POSITIONS crystal
Ir 0.250 0.250 0.250
Y 0.500 0.500 0.500
Gd 0.000 0.000 0.000
CELL_PARAMETERS angstrom
-3.001 -2.787 -2.565
1.555 -4.206 -1.802
-1.607 -4.164 1.852
```